Below is crystalline LiZrZnIn at its relaxed geometry, with properties calculated at the PBE level.

Lattice parameters (Å, degrees): 3.5167 4.6198 4.7863 90.00 90.00 90.00
Sites, in units of the cell vectors:
Li 0.0000 0.0000 0.0000
Zr 0.0000 0.5000 0.5000
Zn 0.5000 0.0000 0.5000
In 0.5000 0.5000 0.0000

## Properties
SG	Pmmm (47)
calculated formation energy	-0.22	eV per atom
spin magnetization	0.00	μB/f.u.
VASP energy	-15.364	eV/cell
Fermi-level density of states	0.500	states/eV/atom